[1]
The following is a PBE calculation of a relaxed structure of SmYErCd, from the Alexandria database.

POSCAR file:
```
SmYErCd
1.0
7.7392 0.0000 0.0000
0.0000 7.7392 0.0000
0.0000 0.0000 7.7392
Sm Y Er Cd
4 4 4 4
Cartesian
0.0000 0.0000 0.0000
0.0000 3.8696 3.8696
3.8696 0.0000 3.8696
3.8696 3.8696 0.0000
0.0000 0.0000 3.8696
0.0000 3.8696 0.0000
3.8696 0.0000 0.0000
3.8696 3.8696 3.8696
1.9348 1.9348 5.8044
1.9348 5.8044 1.9348
5.8044 1.9348 1.9348
5.8044 5.8044 5.8044
1.9348 1.9348 1.9348
1.9348 5.8044 5.8044
5.8044 1.9348 5.8044
5.8044 5.8044 1.9348
```

Energy relative to the lowest polymorph listed for this composition in meV per atom: 120
Raw total energy in eV/atom: -4.201


[2]
The following is a PBE calculation of a relaxed structure of CeDy2YTm, from the Alexandria database.

POSCAR file:
```
CeDy2YTm
1.0
5.8306 0.0000 0.0000
0.0000 7.5567 0.0000
0.0000 0.0000 7.2655
Ce Dy Y Tm
2 4 2 2
Cartesian
0.0000 0.0000 0.0000
2.9153 0.0000 0.0000
1.4576 2.1921 2.3506
1.4576 5.3646 2.3506
4.3729 2.1921 4.9149
4.3729 5.3646 4.9149
1.4576 3.7784 6.1251
4.3729 3.7784 1.1403
1.4576 0.0000 4.4762
4.3729 0.0000 2.7893
```

Raw total energy in eV/atom: -4.925


[3]
The following is a PBE calculation of a relaxed structure of Hf2BeGaP, from the Alexandria database.

POSCAR file:
```
Hf2BeGaP
1.0
4.8692 0.0000 0.0000
0.0000 4.8692 0.0000
0.0000 0.0000 3.9134
Hf Be Ga P
2 1 1 1
Cartesian
0.0000 2.4346 0.0000
2.4346 0.0000 0.0000
0.0000 0.0000 1.9567
2.4346 2.4346 1.9567
0.0000 0.0000 0.0000
```

Raw total energy in eV/atom: -6.503


no.,ΔE_f (eV/atom),N(E_F) (states/eV/cell)
1,-0.04,21.7
2,0.29,19.6
3,-0.09,4.3